The following is a PBE-GGA calculation of a relaxed structure of Pu3PaTl3Se8, from Alexandria via LeMat-Bulk.

a = 9.174 Å, b = 9.174 Å, c = 9.174 Å
α = 54.82°, β = 54.82°, γ = 54.82°
Element x y z (fractional)
1 Pu 0.000 0.500 0.500
2 Pu 0.500 0.000 0.500
3 Pu 0.500 0.500 0.000
4 Pa 0.000 0.000 0.000
5 Tl 0.000 0.000 0.500
6 Tl 0.000 0.500 0.000
7 Tl 0.500 0.000 0.000
8 Se 0.228 0.228 0.745
9 Se 0.228 0.745 0.228
10 Se 0.255 0.772 0.772
11 Se 0.266 0.266 0.266
12 Se 0.734 0.734 0.734
13 Se 0.745 0.228 0.228
14 Se 0.772 0.255 0.772
15 Se 0.772 0.772 0.255

Results
- raw formation energy (eV/atom) = -1.183

The following is a PBE-GGA calculation of a relaxed structure of PuPa2Tl3Se6, from Alexandria via LeMat-Bulk.

a = 7.230 Å, b = 7.230 Å, c = 8.280 Å
α = 98.36°, β = 98.36°, γ = 120.01°
Element x y z (fractional)
1 Pu 0.000 0.000 0.000
2 Pa 0.332 0.668 0.000
3 Pa 0.668 0.332 0.000
4 Tl 0.163 0.837 0.500
5 Tl 0.500 0.500 0.500
6 Tl 0.837 0.163 0.500
7 Se 0.070 0.410 0.208
8 Se 0.274 0.274 0.796
9 Se 0.410 0.070 0.208
10 Se 0.590 0.930 0.792
11 Se 0.726 0.726 0.204
12 Se 0.930 0.590 0.792

Results
- raw formation energy (eV/atom) = -1.037

The following is a PBE-GGA calculation of a relaxed structure of TmPu2PaSe4, from Alexandria via LeMat-Bulk.

a = 7.095 Å, b = 4.042 Å, c = 7.103 Å
α = 90.00°, β = 108.92°, γ = 90.00°
Element x y z (fractional)
1 Tm 0.000 0.000 0.000
2 Pu 0.000 0.500 0.500
3 Pu 0.500 0.000 0.500
4 Pa 0.500 0.500 0.000
5 Se 0.244 0.500 0.243
6 Se 0.246 0.000 0.752
7 Se 0.754 0.000 0.248
8 Se 0.756 0.500 0.757

Results
- raw formation energy (eV/atom) = -1.484

The following is a PBE-GGA calculation of a relaxed structure of Pu2UPaSe4, from Alexandria via LeMat-Bulk.

a = 6.986 Å, b = 4.030 Å, c = 7.291 Å
α = 90.00°, β = 108.64°, γ = 90.00°
Element x y z (fractional)
1 Pu 0.000 0.000 0.000
2 Pu 0.500 0.500 0.000
3 U 0.000 0.500 0.500
4 Pa 0.500 0.000 0.500
5 Se 0.248 0.500 0.249
6 Se 0.249 0.000 0.751
7 Se 0.751 0.000 0.249
8 Se 0.752 0.500 0.751

Results
- raw formation energy (eV/atom) = -1.296

The following is a PBE-GGA calculation of a relaxed structure of Pu3UPa2Se6, from Alexandria via LeMat-Bulk.

a = 9.215 Å, b = 9.215 Å, c = 8.321 Å
α = 104.77°, β = 104.77°, γ = 25.30°
Element x y z (fractional)
1 Pu 0.000 0.000 0.000
2 Pu 0.333 0.333 0.669
3 Pu 0.667 0.667 0.331
4 U 0.000 0.000 0.500
5 Pa 0.335 0.335 0.166
6 Pa 0.665 0.665 0.834
7 Se 0.166 0.166 0.581
8 Se 0.167 0.167 0.085
9 Se 0.499 0.499 0.749
10 Se 0.501 0.501 0.251
11 Se 0.833 0.833 0.915
12 Se 0.834 0.834 0.419

Results
- raw formation energy (eV/atom) = -1.319

The following is a PBE-GGA calculation of a relaxed structure of YPu2PaSe4, from Alexandria via LeMat-Bulk.

a = 7.032 Å, b = 4.071 Å, c = 7.220 Å
α = 90.00°, β = 109.19°, γ = 90.00°
Element x y z (fractional)
1 Y 0.000 0.000 0.000
2 Pu 0.500 0.000 0.500
3 Pu 0.500 0.500 0.000
4 Pa 0.000 0.500 0.500
5 Se 0.246 0.500 0.248
6 Se 0.249 0.000 0.752
7 Se 0.751 0.000 0.248
8 Se 0.754 0.500 0.752

Results
- raw formation energy (eV/atom) = -1.509